{
  "formula": "Dy2SeS2",
  "functional": "PBE",
  "state": "optimized geometry",
  "dft_energy_ev_per_atom": -6.097,
  "e_form_raw_mev_per_atom": -1908.7,
  "m_tot_mub_per_fu": 0.00,
  "cell": [[2.018, -10.328, 0.000], [2.018, 10.328, 0.000], [0.000, 0.000, 6.983]],
  "species": ["Dy", "Dy", "Dy", "Dy", "Se", "Se", "S", "S", "S", "S"],
  "frac_coords": [[0.160, 0.840, 0.500], [0.339, 0.661, 0.505], [0.661, 0.339, 0.005], [0.840, 0.160, 0.000], [0.091, 0.909, 0.837], [0.909, 0.091, 0.337], [0.250, 0.750, 0.169], [0.399, 0.601, 0.836], [0.601, 0.399, 0.336], [0.750, 0.250, 0.669]]
}